1.
Material: Ac2CeZr
Method: DFT, PBE-GGA
State: relaxed

For the theoretical density, the calculation gives 8221 kg/m3. For the calculated formation energy, the calculation gives 0.51 eV per atom. The spin magnetization is 0.695 μB per formula unit. For the calculated total energy, the calculation gives -0.37931 Ry per atom.

It has space group R-3m (No. 166, hexagonal axes), with a = 3.5783 Å, b = 3.5783 Å, c = 37.4506 Å, α = 90.00°, β = 90.00° and γ = 120.00°. Symmetry generates all atoms from Ac at (0.0000, 0.0000, 0.0854), Ce at (0.0000, 0.0000, 0.5000) and Zr at (0.0000, 0.0000, 0.0000).



2.
Material: Tl4CrCu
Method: DFT, PBE-GGA
State: relaxed

For the theoretical density, the calculation gives 8983 kg/m3. For the calculated formation energy, the calculation gives 0.76 eV per atom. The spin magnetization is 4.906 μB per formula unit. For the calculated total energy, the calculation gives -0.22786 Ry per atom.

It has space group F-43m (No. 216), with a = 8.8362 Å, b = 8.8362 Å, c = 8.8362 Å, α = 90.00°, β = 90.00° and γ = 90.00°. Symmetry generates all atoms from Tl at (0.1251, 0.1251, 0.1251), Cr at (0.2500, 0.2500, 0.7500) and Cu at (0.0000, 0.0000, 0.5000).



3.
Material: ZnHg2Br
Method: DFT, PBE-GGA
State: relaxed

For the theoretical density, the calculation gives 8222 kg/m3. The value obtained for the energy above the most stable polymorph in this dataset is 166.8 meV/atom. As for the uncorrected formation energy: -0.074 eV per formula unit. The spin magnetization is 0.000 μB per formula unit. For the calculated total energy, the calculation gives -0.06659 Ry per atom.

It has space group P4/mmm (No. 123), with a = 4.1796 Å, b = 4.1796 Å, c = 6.3182 Å, α = 90.00°, β = 90.00° and γ = 90.00°. Symmetry generates all atoms from Zn at (0.0000, 0.0000, 0.0000), Hg at (0.0000, 0.5000, 0.5000) and Br at (0.5000, 0.5000, 0.0000).